# 1
## Sm2AgS4 (PBE)

Data for a relaxed structure of Sm2AgS4.

Unit cell a=6.863 b=5.547 c=8.377 alpha=90.00 beta=101.13 gamma=90.00
Sites, in units of the cell vectors:
Sm (0.807, 0.750, 0.121)
Sm (0.193, 0.250, 0.879)
Sm (0.239, 0.250, 0.428)
Sm (0.761, 0.750, 0.572)
Ag (0.285, 0.750, 0.136)
Ag (0.715, 0.250, 0.864)
S (0.554, 0.485, 0.289)
S (0.044, 0.750, 0.880)
S (0.956, 0.250, 0.120)
S (0.554, 0.015, 0.289)
S (0.919, 0.250, 0.605)
S (0.446, 0.985, 0.711)
S (0.446, 0.515, 0.711)
S (0.081, 0.750, 0.395)

Properties
N(E_F), states/eV/f.u.: 1.756



# 2
## Sm6AgS5 (PBE)

Data for a relaxed structure of Sm6AgS5.

Unit cell a=7.024 b=7.024 c=7.011 alpha=99.60 beta=99.60 gamma=120.05
Sites, in units of the cell vectors:
S (0.836, 0.164, 0.500)
S (0.666, 0.334, 0.000)
S (0.500, 0.500, 0.500)
S (0.334, 0.666, 0.000)
S (0.164, 0.836, 0.500)
Ag (0.000, 0.000, 0.000)
Sm (0.433, 0.085, 0.257)
Sm (0.915, 0.567, 0.743)
Sm (0.261, 0.261, 0.743)
Sm (0.739, 0.739, 0.257)
Sm (0.085, 0.433, 0.257)
Sm (0.567, 0.915, 0.743)

Properties
N(E_F), states/eV/f.u.: 5.252



| no. | final energy (eV per atom) |
| --- | --- |
| 1 | -5.480 |
| 2 | -6.031 |